(1)
# AlCr3, relaxed, DFT PBEsol
data_AlCr3
_chemical_formula_sum 'Al2 Cr6'
_space_group_name_H-M_alt 'C m m m'
_space_group_IT_number 65
_space_group_name_Hall '-C 2 2'
_cell_length_a 2.8820
_cell_length_b 4.1136
_cell_length_c 8.0006
_cell_angle_alpha 90.00
_cell_angle_beta 90.00
_cell_angle_gamma 90.00
loop_
_atom_site_label
_atom_site_type_symbol
_atom_site_fract_x
_atom_site_fract_y
_atom_site_fract_z
Al1 Al 0.0000 0.0000 0.0000
Cr1 Cr 0.0000 0.0000 0.5000
Cr2 Cr 0.0000 0.5000 0.2614
# * calculated formation energy: 0.0309 eV per atom

***

(2)
# EuSiPt, relaxed, DFT PBEsol
data_EuSiPt
_chemical_formula_sum 'Eu4 Si4 Pt4'
_space_group_name_H-M_alt 'P 21 3'
_space_group_IT_number 198
_space_group_name_Hall 'P 2ac 2ab 3'
_cell_length_a 6.3531
_cell_length_b 6.3531
_cell_length_c 6.3531
_cell_angle_alpha 90.00
_cell_angle_beta 90.00
_cell_angle_gamma 90.00
loop_
_atom_site_label
_atom_site_type_symbol
_atom_site_fract_x
_atom_site_fract_y
_atom_site_fract_z
Eu1 Eu 0.1236 0.1236 0.1236
Si1 Si 0.1683 0.3317 0.6683
Pt1 Pt 0.0811 0.5811 0.9189
# * energy relative to the elements, uncorrected: -1.049 eV/atom

***

(3)
# BeRe2P, relaxed, DFT PBEsol
data_BeRe2P
_chemical_formula_sum 'Be1 Re2 P1'
_space_group_name_H-M_alt 'P 4/m m m'
_space_group_IT_number 123
_space_group_name_Hall '-P 4 2'
_cell_length_a 2.8967
_cell_length_b 2.8967
_cell_length_c 5.6952
_cell_angle_alpha 90.00
_cell_angle_beta 90.00
_cell_angle_gamma 90.00
loop_
_atom_site_label
_atom_site_type_symbol
_atom_site_fract_x
_atom_site_fract_y
_atom_site_fract_z
Be1 Be 0.0000 0.0000 0.0000
Re1 Re 0.5000 0.5000 0.2461
P1 P 0.0000 0.0000 0.5000
# * calculated formation energy: -0.0177 eV per atom

***

(4)
# LaSc2Cl2, relaxed, DFT PBEsol
data_LaSc2Cl2
_chemical_formula_sum 'La2 Sc4 Cl4'
_space_group_name_H-M_alt 'I 4/m m m'
_space_group_IT_number 139
_space_group_name_Hall '-I 4 2'
_cell_length_a 3.9587
_cell_length_b 3.9587
_cell_length_c 13.3920
_cell_angle_alpha 90.00
_cell_angle_beta 90.00
_cell_angle_gamma 90.00
loop_
_atom_site_label
_atom_site_type_symbol
_atom_site_fract_x
_atom_site_fract_y
_atom_site_fract_z
La1 La 0.0000 0.0000 0.0000
Sc1 Sc 0.0000 0.5000 0.2500
Cl1 Cl 0.0000 0.0000 0.3892
# * energy relative to the elements, uncorrected: -0.798 eV/atom

***

(5)
# CaMnNi2, relaxed, DFT PBEsol
data_CaMnNi2
_chemical_formula_sum 'Ca4 Mn4 Ni8'
_space_group_name_H-M_alt 'F m -3 m'
_space_group_IT_number 225
_space_group_name_Hall '-F 4 2 3'
_cell_length_a 6.1683
_cell_length_b 6.1683
_cell_length_c 6.1683
_cell_angle_alpha 90.00
_cell_angle_beta 90.00
_cell_angle_gamma 90.00
loop_
_atom_site_label
_atom_site_type_symbol
_atom_site_fract_x
_atom_site_fract_y
_atom_site_fract_z
Ca1 Ca 0.0000 0.0000 0.0000
Mn1 Mn 0.0000 0.0000 0.5000
Ni1 Ni 0.2500 0.2500 0.2500
# * calculated formation energy: 0.2536 eV per atom

***

(6)
# Ta5Mo3, relaxed, DFT PBEsol
data_Ta5Mo3
_chemical_formula_sum 'Ta10 Mo6'
_space_group_name_H-M_alt 'C 1 m 1'
_space_group_IT_number 8
_space_group_name_Hall 'C -2y'
_cell_length_a 10.5653
_cell_length_b 9.0298
_cell_length_c 2.8383
_cell_angle_alpha 90.00
_cell_angle_beta 100.85
_cell_angle_gamma 90.00
loop_
_atom_site_label
_atom_site_type_symbol
_atom_site_fract_x
_atom_site_fract_y
_atom_site_fract_z
Ta1 Ta 0.0000 0.0000 0.0000
Ta2 Ta 0.0087 0.5000 0.0228
Ta3 Ta 0.1323 0.2513 0.7444
Ta4 Ta 0.2589 0.0000 0.4830
Mo1 Mo 0.2569 0.5000 0.4958
Mo2 Mo 0.3809 0.2510 0.2521
# * calculated formation energy: -0.0850 eV per atom

***

(7)
# BeFeNi2Pt, relaxed, DFT PBEsol
data_BeFeNi2Pt
_chemical_formula_sum 'Be1 Fe1 Ni2 Pt1'
_space_group_name_H-M_alt 'P 4/m m m'
_space_group_IT_number 123
_space_group_name_Hall '-P 4 2'
_cell_length_a 4.5240
_cell_length_b 4.5240
_cell_length_c 4.5376
_cell_angle_alpha 90.00
_cell_angle_beta 90.00
_cell_angle_gamma 90.00
loop_
_atom_site_label
_atom_site_type_symbol
_atom_site_fract_x
_atom_site_fract_y
_atom_site_fract_z
Be1 Be 0.0000 0.0000 0.0000
Fe1 Fe 0.5000 0.5000 0.0000
Ni1 Ni 0.0000 0.5000 0.5000
Pt1 Pt 0.5000 0.5000 0.5000
# * calculated formation energy: 1.5842 eV per atom

***

(8)
# Ta4Rh, relaxed, DFT PBEsol
data_Ta4Rh
_chemical_formula_sum 'Ta8 Rh2'
_space_group_name_H-M_alt 'I 4/m'
_space_group_IT_number 87
_space_group_name_Hall '-I 4'
_cell_length_a 7.1240
_cell_length_b 7.1240
_cell_length_c 3.2986
_cell_angle_alpha 90.00
_cell_angle_beta 90.00
_cell_angle_gamma 90.00
loop_
_atom_site_label
_atom_site_type_symbol
_atom_site_fract_x
_atom_site_fract_y
_atom_site_fract_z
Ta1 Ta 0.0989 0.7014 0.0000
Rh1 Rh 0.0000 0.0000 0.5000
# * calculated formation energy: -0.2265 eV per atom

***

(9)
# Tl3CdMo, relaxed, DFT PBEsol
data_Tl3CdMo
_chemical_formula_sum 'Tl3 Cd1 Mo1'
_space_group_name_H-M_alt 'P m -3 m'
_space_group_IT_number 221
_space_group_name_Hall '-P 4 2 3'
_cell_length_a 5.4147
_cell_length_b 5.4147
_cell_length_c 5.4147
_cell_angle_alpha 90.00
_cell_angle_beta 90.00
_cell_angle_gamma 90.00
loop_
_atom_site_label
_atom_site_type_symbol
_atom_site_fract_x
_atom_site_fract_y
_atom_site_fract_z
Tl1 Tl 0.0000 0.0000 0.5000
Cd1 Cd 0.0000 0.0000 0.0000
Mo1 Mo 0.5000 0.5000 0.5000
# * calculated formation energy: 1.3377 eV per atom

***

(10)
# AlGaOs2S, relaxed, DFT PBEsol
data_AlGaOs2S
_chemical_formula_sum 'Al1 Ga1 Os2 S1'
_space_group_name_H-M_alt 'P 4/m m m'
_space_group_IT_number 123
_space_group_name_Hall '-P 4 2'
_cell_length_a 4.3579
_cell_length_b 4.3579
_cell_length_c 4.3597
_cell_angle_alpha 90.00
_cell_angle_beta 90.00
_cell_angle_gamma 90.00
loop_
_atom_site_label
_atom_site_type_symbol
_atom_site_fract_x
_atom_site_fract_y
_atom_site_fract_z
Al1 Al 0.0000 0.0000 0.0000
Ga1 Ga 0.5000 0.5000 0.0000
Os1 Os 0.0000 0.5000 0.5000
S1 S 0.0000 0.0000 0.5000
# * energy relative to the elements, uncorrected: 0.990 eV/atom

***

(11)
# SrEu2BeO5, relaxed, DFT PBEsol
data_SrEu2BeO5
_chemical_formula_sum 'Sr4 Eu8 Be4 O20'
_space_group_name_H-M_alt 'P n a 21'
_space_group_IT_number 33
_space_group_name_Hall 'P 2c -2n'
_cell_length_a 9.4326
_cell_length_b 6.4950
_cell_length_c 7.1496
_cell_angle_alpha 90.00
_cell_angle_beta 90.00
_cell_angle_gamma 90.00
loop_
_atom_site_label
_atom_site_type_symbol
_atom_site_fract_x
_atom_site_fract_y
_atom_site_fract_z
Sr1 Sr 0.1744 0.0866 0.0000
Eu1 Eu 0.0220 0.5888 0.7674
Eu2 Eu 0.1719 0.0806 0.5425
Be1 Be 0.1011 0.8096 0.2685
O1 O 0.0087 0.0229 0.2693
O2 O 0.0663 0.6929 0.4617
O3 O 0.0691 0.6855 0.0769
O4 O 0.2181 0.3376 0.2699
O5 O 0.2255 0.3701 0.7693
# * energy relative to the elements, uncorrected: -2.806 eV/atom

***

(12)
# Li4Ti3V3O12, relaxed, DFT PBEsol
data_Li4Ti3V3O12
_chemical_formula_sum 'Li4 Ti3 V3 O12'
_space_group_name_H-M_alt 'P -1'
_space_group_IT_number 2
_space_group_name_Hall '-P 1'
_cell_length_a 5.0039
_cell_length_b 5.9361
_cell_length_c 7.7381
_cell_angle_alpha 77.60
_cell_angle_beta 77.24
_cell_angle_gamma 73.26
loop_
_atom_site_label
_atom_site_type_symbol
_atom_site_fract_x
_atom_site_fract_y
_atom_site_fract_z
Li1 Li 0.0027 0.1647 0.3341
Li2 Li 0.4952 0.3348 0.1661
Ti1 Ti 0.0000 0.0000 0.0000
Ti2 Ti 0.0173 0.3301 0.6676
V1 V 0.4930 0.1704 0.8294
V2 V 0.5000 0.5000 0.5000
O1 O 0.2347 0.3577 0.4208
O2 O 0.2375 0.0103 0.7603
O3 O 0.2440 0.6878 0.0939
O4 O 0.2499 0.8110 0.4077
O5 O 0.2588 0.4924 0.7398
O6 O 0.2621 0.1417 0.0785
# * energy relative to the elements, uncorrected: -2.540 eV/atom

***

(13)
# HgSBrN2, relaxed, DFT PBEsol
data_HgSBrN2
_chemical_formula_sum 'Hg1 S1 Br1 N2'
_space_group_name_H-M_alt 'P 4/m m m'
_space_group_IT_number 123
_space_group_name_Hall '-P 4 2'
_cell_length_a 3.7529
_cell_length_b 3.7529
_cell_length_c 6.7405
_cell_angle_alpha 90.00
_cell_angle_beta 90.00
_cell_angle_gamma 90.00
loop_
_atom_site_label
_atom_site_type_symbol
_atom_site_fract_x
_atom_site_fract_y
_atom_site_fract_z
Hg1 Hg 0.0000 0.0000 0.0000
S1 S 0.5000 0.5000 0.0000
Br1 Br 0.5000 0.5000 0.5000
N1 N 0.0000 0.5000 0.5000
# * energy relative to the elements, uncorrected: 1.869 eV/atom

***

(14)
# MgTa2Co2, relaxed, DFT PBEsol
data_MgTa2Co2
_chemical_formula_sum 'Mg2 Ta4 Co4'
_space_group_name_H-M_alt 'P 4/m b m'
_space_group_IT_number 127
_space_group_name_Hall '-P 4 2ab'
_cell_length_a 7.0391
_cell_length_b 7.0391
_cell_length_c 2.9603
_cell_angle_alpha 90.00
_cell_angle_beta 90.00
_cell_angle_gamma 90.00
loop_
_atom_site_label
_atom_site_type_symbol
_atom_site_fract_x
_atom_site_fract_y
_atom_site_fract_z
Mg1 Mg 0.0000 0.0000 0.0000
Ta1 Ta 0.1649 0.3351 0.5000
Co1 Co 0.1286 0.6286 0.0000
# * calculated formation energy: -0.1148 eV per atom

***

(15)
# KBaAl3, relaxed, DFT PBEsol
data_KBaAl3
_chemical_formula_sum 'K1 Ba1 Al3'
_space_group_name_H-M_alt 'P m -3 m'
_space_group_IT_number 221
_space_group_name_Hall '-P 4 2 3'
_cell_length_a 6.0306
_cell_length_b 6.0306
_cell_length_c 6.0306
_cell_angle_alpha 90.00
_cell_angle_beta 90.00
_cell_angle_gamma 90.00
loop_
_atom_site_label
_atom_site_type_symbol
_atom_site_fract_x
_atom_site_fract_y
_atom_site_fract_z
K1 K 0.0000 0.0000 0.0000
Ba1 Ba 0.5000 0.5000 0.5000
Al1 Al 0.0000 0.5000 0.5000
# * calculated formation energy: 1.0675 eV per atom

***

(16)
# HgP2O6, relaxed, DFT PBEsol
data_HgP2O6
_chemical_formula_sum 'Hg8 P16 O48'
_space_group_name_H-M_alt 'P b c a'
_space_group_IT_number 61
_space_group_name_Hall '-P 2ac 2ab'
_cell_length_a 7.1663
_cell_length_b 9.8335
_cell_length_c 13.8042
_cell_angle_alpha 90.00
_cell_angle_beta 90.00
_cell_angle_gamma 90.00
loop_
_atom_site_label
_atom_site_type_symbol
_atom_site_fract_x
_atom_site_fract_y
_atom_site_fract_z
Hg1 Hg 0.0420 0.0055 0.2057
P1 P 0.0794 0.7022 0.0985
P2 P 0.1813 0.7129 0.8962
O1 O 0.0138 0.7005 0.3781
O2 O 0.1366 0.6036 0.1774
O3 O 0.1375 0.6515 0.6034
O4 O 0.1430 0.1880 0.4123
O5 O 0.1558 0.6382 0.9995
O6 O 0.2330 0.6029 0.8249
# * energy relative to the elements, uncorrected: -1.747 eV/atom

***

(17)
# K3IrW, relaxed, DFT PBEsol
data_K3IrW
_chemical_formula_sum 'K3 Ir1 W1'
_space_group_name_H-M_alt 'P m -3 m'
_space_group_IT_number 221
_space_group_name_Hall '-P 4 2 3'
_cell_length_a 5.9189
_cell_length_b 5.9189
_cell_length_c 5.9189
_cell_angle_alpha 90.00
_cell_angle_beta 90.00
_cell_angle_gamma 90.00
loop_
_atom_site_label
_atom_site_type_symbol
_atom_site_fract_x
_atom_site_fract_y
_atom_site_fract_z
K1 K 0.0000 0.0000 0.5000
Ir1 Ir 0.0000 0.0000 0.0000
W1 W 0.5000 0.5000 0.5000
# * calculated formation energy: 2.1567 eV per atom

***

(18)
# Zn2NiMo, relaxed, DFT PBEsol
data_Zn2NiMo
_chemical_formula_sum 'Zn2 Ni1 Mo1'
_space_group_name_H-M_alt 'P 4/m m m'
_space_group_IT_number 123
_space_group_name_Hall '-P 4 2'
_cell_length_a 2.6524
_cell_length_b 2.6524
_cell_length_c 7.3327
_cell_angle_alpha 90.00
_cell_angle_beta 90.00
_cell_angle_gamma 90.00
loop_
_atom_site_label
_atom_site_type_symbol
_atom_site_fract_x
_atom_site_fract_y
_atom_site_fract_z
Zn1 Zn 0.0000 0.0000 0.2218
Ni1 Ni 0.5000 0.5000 0.0000
Mo1 Mo 0.5000 0.5000 0.5000
# * calculated formation energy: -0.0414 eV per atom

***

(19)
# TaIr2W, relaxed, DFT PBEsol
data_TaIr2W
_chemical_formula_sum 'Ta1 Ir2 W1'
_space_group_name_H-M_alt 'P m m m'
_space_group_IT_number 47
_space_group_name_Hall '-P 2 2'
_cell_length_a 2.7947
_cell_length_b 3.8843
_cell_length_c 5.5797
_cell_angle_alpha 90.00
_cell_angle_beta 90.00
_cell_angle_gamma 90.00
loop_
_atom_site_label
_atom_site_type_symbol
_atom_site_fract_x
_atom_site_fract_y
_atom_site_fract_z
Ta1 Ta 0.0000 0.0000 0.0000
Ir1 Ir 0.5000 0.5000 0.2553
W1 W 0.0000 0.0000 0.5000
# * calculated formation energy: -0.4437 eV per atom

***

(20)
# Mg4Zn3Cu2, relaxed, DFT PBEsol
data_Mg4Zn3Cu2
_chemical_formula_sum 'Mg8 Zn6 Cu4'
_space_group_name_H-M_alt 'C 1 2/m 1'
_space_group_IT_number 12
_space_group_name_Hall '-C 2y'
_cell_length_a 13.2712
_cell_length_b 4.1791
_cell_length_c 5.4830
_cell_angle_alpha 90.00
_cell_angle_beta 101.62
_cell_angle_gamma 90.00
loop_
_atom_site_label
_atom_site_type_symbol
_atom_site_fract_x
_atom_site_fract_y
_atom_site_fract_z
Mg1 Mg 0.0866 0.0000 0.3781
Mg2 Mg 0.2182 0.5000 0.2043
Zn1 Zn 0.0000 0.5000 0.0000
Zn2 Zn 0.1300 0.5000 0.6911
Cu1 Cu 0.0960 0.0000 0.9102
# * calculated formation energy: -0.0755 eV per atom

***

(21)
# Co3RuAu, relaxed, DFT PBEsol
data_Co3RuAu
_chemical_formula_sum 'Co3 Ru1 Au1'
_space_group_name_H-M_alt 'P m -3 m'
_space_group_IT_number 221
_space_group_name_Hall '-P 4 2 3'
_cell_length_a 4.2926
_cell_length_b 4.2926
_cell_length_c 4.2926
_cell_angle_alpha 90.00
_cell_angle_beta 90.00
_cell_angle_gamma 90.00
loop_
_atom_site_label
_atom_site_type_symbol
_atom_site_fract_x
_atom_site_fract_y
_atom_site_fract_z
Co1 Co 0.0000 0.0000 0.5000
Ru1 Ru 0.0000 0.0000 0.0000
Au1 Au 0.5000 0.5000 0.5000
# * calculated formation energy: 1.5566 eV per atom

***

Computed energy (eV/atom) in order:
-8.673, -8.807, -9.132, -5.312, -5.799, -12.342, -4.864, -11.895, -2.833, -6.259, -8.718, -8.209, -2.906, -8.574, -2.044, -6.596, -3.249, -5.314, -11.945, -2.329, -5.905
Computed magnetic moment (μB/f.u.) in order:
0.00, 6.92, 0.00, 0.00, 4.42, 0.00, 5.10, 0.00, 4.59, 0.00, 0.34, 6.62, 0.45, 0.00, 0.00, 0.00, 6.21, 0.00, 0.00, 0.00, 1.49